# Cd2FeAg

An optimized crystal structure of Cd2FeAg (PBE-GGA, Alexandria).

Total magnetic moment, μB/cell: 5.2
Calculated density, g/cm3: 8.95
Fermi-level density of states, states/eV/cell: 6.49

```
Cd2FeAg
1.0
10.678 0.000 0.000
0.000 2.946 0.000
-1.933 0.000 4.585
Cd Fe Ag
4 2 2
direct
0.000 0.000 0.000 Cd
0.230 0.000 0.625 Cd
0.500 0.500 0.000 Cd
0.730 0.500 0.625 Cd
0.241 0.500 0.126 Fe
0.741 0.000 0.126 Fe
0.470 0.000 0.473 Ag
0.970 0.500 0.473 Ag
```



# CdFe2Ag

An optimized crystal structure of CdFe2Ag (PBE-GGA, Alexandria).

Total magnetic moment, μB/cell: 10.1
Calculated density, g/cm3: 8.81
Fermi-level density of states, states/eV/cell: 4.15

```
CdFe2Ag
1.0
9.717 0.000 0.000
0.000 2.914 0.000
-1.682 0.000 4.421
Cd Fe Ag
2 4 2
direct
0.000 0.000 0.000 Cd
0.500 0.500 0.000 Cd
0.036 0.500 0.532 Fe
0.234 0.000 0.744 Fe
0.536 0.000 0.532 Fe
0.734 0.500 0.744 Fe
0.276 0.500 0.285 Ag
0.776 0.000 0.285 Ag
```



# CdFe4Ag

An optimized crystal structure of CdFe4Ag (PBE-GGA, Alexandria).

Total magnetic moment, μB/cell: 10.5
Calculated density, g/cm3: 8.52
Fermi-level density of states, states/eV/cell: 5.90

```
CdFe4Ag
1.0
0.000 3.510 3.510
3.510 0.000 3.510
3.510 3.510 0.000
Cd Fe Ag
1 4 1
direct
0.000 0.000 0.000 Cd
0.124 0.625 0.625 Fe
0.625 0.124 0.625 Fe
0.625 0.625 0.124 Fe
0.625 0.625 0.625 Fe
0.250 0.250 0.250 Ag
```



# CdFe2Ag

An optimized crystal structure of CdFe2Ag (PBE-GGA, Alexandria).

Total magnetic moment, μB/cell: 10.8
Calculated density, g/cm3: 8.74
Fermi-level density of states, states/eV/cell: 5.41

```
CdFe2Ag
1.0
3.300 0.000 0.000
0.000 4.422 0.000
0.000 0.000 8.641
Cd Fe Ag
2 4 2
direct
0.000 0.000 0.000 Cd
0.500 0.500 0.000 Cd
0.000 0.000 0.542 Fe
0.000 0.500 0.739 Fe
0.500 0.000 0.739 Fe
0.500 0.500 0.542 Fe
0.000 0.500 0.289 Ag
0.500 0.000 0.289 Ag
```



# CdFe2Ag

An optimized crystal structure of CdFe2Ag (PBE-GGA, Alexandria).

Total magnetic moment, μB/cell: 5.0
Calculated density, g/cm3: 8.82
Fermi-level density of states, states/eV/cell: 2.27

```
CdFe2Ag
1.0
2.991 0.000 0.000
0.000 3.020 0.000
0.000 0.000 6.920
Cd Fe Ag
1 2 1
direct
0.000 0.000 0.000 Cd
0.000 0.000 0.435 Fe
0.500 0.500 0.272 Fe
0.500 0.500 0.698 Ag
```



# Cd2FeAg2

An optimized crystal structure of Cd2FeAg2 (PBE-GGA, Alexandria).

Total magnetic moment, μB/cell: 6.3
Calculated density, g/cm3: 8.48
Fermi-level density of states, states/eV/cell: 7.61

```
Cd2FeAg2
1.0
6.968 0.000 0.000
0.000 6.968 0.000
0.000 0.000 4.004
Cd Fe Ag
4 2 4
direct
0.165 0.335 0.000 Cd
0.335 0.835 0.000 Cd
0.665 0.165 0.000 Cd
0.835 0.665 0.000 Cd
0.000 0.000 0.500 Fe
0.500 0.500 0.500 Fe
0.141 0.641 0.500 Ag
0.359 0.141 0.500 Ag
0.641 0.859 0.500 Ag
0.859 0.359 0.500 Ag
```



| no. | energy (eV per atom) |
| --- | --- |
| 1 | -3.04 |
| 2 | -4.85 |
| 3 | -6.00 |
| 4 | -4.92 |
| 5 | -4.96 |
| 6 | -2.83 |